(1)
Density functional theory data (PBE) for a relaxed structure of ZrSc2SbO.

The total magnetization comes out at 0.0 Bohr magnetons per cell. The space group is P4/mmm. As for the crystal system: tetragonal. Its mass density is 5.91 g/cm3. Its density of states at the Fermi level is 3.9 states/eV/f.u. As for the uncorrected formation energy: -1.38 eV/atom.

a b c (Å): 4.332 4.332 4.772
angles (deg): 90.00 90.00 90.00
Element x y z (fractional)
Zr 0.000 0.000 0.000
Sc 0.000 0.500 0.500
Sc 0.500 0.000 0.500
Sb 0.500 0.500 0.000
O 0.000 0.000 0.500

=====

(2)
Density functional theory data (PBE) for a relaxed structure of SbSeO5.

The total magnetization comes out at 0.0 Bohr magnetons per cell. The space group is P-1. As for the crystal system: triclinic. Its mass density is 4.23 g/cm3. As for the uncorrected formation energy: -0.80 eV/atom.

a b c (Å): 5.499 5.906 7.733
angles (deg): 110.68 109.00 90.13
Element x y z (fractional)
Sb 0.000 0.000 0.000
Sb 0.000 0.000 0.500
Se 0.398 0.636 0.263
Se 0.602 0.364 0.737
O 0.085 0.962 0.746
O 0.272 0.324 0.635
O 0.296 0.782 0.456
O 0.299 0.745 0.082
O 0.310 0.338 0.184
O 0.690 0.662 0.816
O 0.701 0.255 0.918
O 0.704 0.218 0.544
O 0.728 0.676 0.365
O 0.915 0.038 0.254

=====

(3)
Density functional theory data (PBE) for a relaxed structure of SbSe2O8.

The total magnetization comes out at 0.0 Bohr magnetons per cell. The space group is P-3m1. As for the crystal system: trigonal. Its mass density is 3.73 g/cm3. Its density of states at the Fermi level is 2.5 states/eV/f.u. As for the uncorrected formation energy: -0.61 eV/atom.

a b c (Å): 5.604 5.604 6.680
angles (deg): 90.00 90.00 120.00
Element x y z (fractional)
Sb 0.000 0.000 0.000
Se 0.333 0.667 0.719
Se 0.667 0.333 0.281
O 0.169 0.338 0.811
O 0.169 0.831 0.811
O 0.333 0.667 0.476
O 0.338 0.169 0.189
O 0.662 0.831 0.811
O 0.667 0.333 0.524
O 0.831 0.169 0.189
O 0.831 0.662 0.189

=====

(4)
Density functional theory data (PBE) for a relaxed structure of SbSeO4.

The total magnetization comes out at 2.0 Bohr magnetons per cell. The space group is C2/c. As for the crystal system: monoclinic. Its mass density is 4.82 g/cm3. As for the uncorrected formation energy: -0.77 eV/atom.

a b c (Å): 6.490 6.490 5.048
angles (deg): 109.47 109.47 69.76
Element x y z (fractional)
Sb 0.135 0.865 0.750
Sb 0.865 0.135 0.250
Se 0.000 0.500 0.000
Se 0.500 0.000 0.500
O 0.031 0.192 0.679
O 0.179 0.571 0.813
O 0.192 0.031 0.179
O 0.429 0.821 0.687
O 0.571 0.179 0.313
O 0.808 0.969 0.821
O 0.821 0.429 0.187
O 0.969 0.808 0.321

=====

(5)
Density functional theory data (PBE) for a relaxed structure of SbSeO2.

The total magnetization comes out at 0.0 Bohr magnetons per cell. The space group is R-3m. As for the crystal system: trigonal. Its mass density is 5.62 g/cm3. Its density of states at the Fermi level is 2.3 states/eV/f.u. As for the uncorrected formation energy: -0.46 eV/atom.

a b c (Å): 3.507 3.507 19.383
angles (deg): 90.00 90.00 120.00
Element x y z (fractional)
Sb 0.000 0.000 0.000
Sb 0.333 0.667 0.667
Sb 0.667 0.333 0.333
Se 0.000 0.000 0.500
Se 0.333 0.667 0.167
Se 0.667 0.333 0.833
O 0.000 0.000 0.392
O 0.000 0.000 0.608
O 0.333 0.667 0.059
O 0.333 0.667 0.274
O 0.667 0.333 0.726
O 0.667 0.333 0.941

=====

(6)
Density functional theory data (PBE) for a relaxed structure of SbSeO.

The total magnetization comes out at 0.0 Bohr magnetons per cell. The space group is P3m1. As for the crystal system: trigonal. Its mass density is 5.08 g/cm3. Its density of states at the Fermi level is 2.9 states/eV/f.u. As for the uncorrected formation energy: -0.40 eV/atom.

a b c (Å): 3.623 3.623 6.226
angles (deg): 90.00 90.00 120.00
Element x y z (fractional)
Sb 0.000 0.000 0.000
Se 0.667 0.333 0.721
O 0.333 0.667 0.142